A plane-wave DFT calculation with PBE was carried out for an optimized crystal structure of LiCa3H8Rh2.

**Electronic total energy**: -54.69 eV for the cell shown
**Spin magnetization**: 0.000 μB/atom
**Mass density**: 3627 kg/m³

Cell and atoms, written as CIF:
```
data_LiCa3H8Rh2
_symmetry_space_group_name_H-M 'P 1'
_symmetry_Int_Tables_number 1
_cell_length_a 5.101
_cell_length_b 5.101
_cell_length_c 6.928
_cell_angle_alpha 90.00
_cell_angle_beta 90.00
_cell_angle_gamma 120.00
loop_
_symmetry_equiv_pos_as_xyz
'x,y,z'
loop_
_atom_site_label
_atom_site_fract_x
_atom_site_fract_y
_atom_site_fract_z
Ca1 0.333 0.667 0.656
Ca2 0.667 0.333 0.344
Ca3 0.000 0.000 0.000
Rh1 0.667 0.333 0.797
Rh2 0.333 0.667 0.203
H1 0.167 0.334 0.331
H2 0.333 0.667 0.965
H3 0.334 0.167 0.669
H4 0.167 0.833 0.331
H5 0.833 0.666 0.669
H6 0.833 0.167 0.669
H7 0.667 0.333 0.035
H8 0.666 0.833 0.331
Li1 0.000 0.000 0.500
```

A plane-wave DFT calculation with PBE was carried out for an optimized crystal structure of LiCaHRh2.

**Electronic total energy**: -22.95 eV for the cell shown
**Spin magnetization**: 0.000 μB/atom
**Mass density**: 6050 kg/m³
**E above lowest polymorph**: 54 meV per atom

Cell and atoms, written as CIF:
```
data_LiCaHRh2
_symmetry_space_group_name_H-M 'P 1'
_symmetry_Int_Tables_number 1
_cell_length_a 3.973
_cell_length_b 3.973
_cell_length_c 4.414
_cell_angle_alpha 90.00
_cell_angle_beta 90.00
_cell_angle_gamma 90.00
loop_
_symmetry_equiv_pos_as_xyz
'x,y,z'
loop_
_atom_site_label
_atom_site_fract_x
_atom_site_fract_y
_atom_site_fract_z
Rh1 0.500 0.000 0.000
Rh2 0.000 0.500 0.000
Li1 0.500 0.500 0.500
H1 0.000 0.000 0.000
Ca1 0.000 0.000 0.500
```

A plane-wave DFT calculation with PBE was carried out for an optimized crystal structure of LiCaH6Rh.

**Electronic total energy**: -35.10 eV for the cell shown
**Spin magnetization**: 0.000 μB/atom
**Mass density**: 2935 kg/m³

Cell and atoms, written as CIF:
```
data_LiCaH6Rh
_symmetry_space_group_name_H-M 'P 1'
_symmetry_Int_Tables_number 1
_cell_length_a 4.731
_cell_length_b 4.731
_cell_length_c 4.554
_cell_angle_alpha 90.00
_cell_angle_beta 90.00
_cell_angle_gamma 60.00
loop_
_symmetry_equiv_pos_as_xyz
'x,y,z'
loop_
_atom_site_label
_atom_site_fract_x
_atom_site_fract_y
_atom_site_fract_z
Li1 0.667 0.667 0.500
H1 0.041 0.596 0.719
H2 0.364 0.595 0.280
H3 0.363 0.041 0.719
H4 0.596 0.040 0.280
H5 0.596 0.363 0.719
H6 0.040 0.364 0.280
Ca1 0.000 0.000 0.001
Rh1 0.333 0.333 0.500
```

A plane-wave DFT calculation with PBE was carried out for an optimized crystal structure of LiCa4H12Rh3.

**Electronic total energy**: -83.58 eV for the cell shown
**Spin magnetization**: 0.000 μB/atom
**Mass density**: 4131 kg/m³

Cell and atoms, written as CIF:
```
data_LiCa4H12Rh3
_symmetry_space_group_name_H-M 'P 1'
_symmetry_Int_Tables_number 1
_cell_length_a 6.340
_cell_length_b 6.340
_cell_length_c 6.340
_cell_angle_alpha 109.47
_cell_angle_beta 109.47
_cell_angle_gamma 109.47
loop_
_symmetry_equiv_pos_as_xyz
'x,y,z'
loop_
_atom_site_label
_atom_site_fract_x
_atom_site_fract_y
_atom_site_fract_z
Rh1 0.500 0.000 0.500
Rh2 0.500 0.500 0.000
Rh3 0.000 0.500 0.500
Ca1 0.000 0.000 0.500
Ca2 0.500 0.000 0.000
Ca3 0.500 0.500 0.500
Ca4 0.000 0.500 0.000
H1 0.000 0.261 0.261
H2 0.750 0.250 0.500
H3 0.739 0.739 0.000
H4 0.261 0.261 0.000
H5 0.750 0.500 0.250
H6 0.250 0.750 0.500
H7 0.250 0.500 0.750
H8 0.739 0.000 0.739
H9 0.500 0.750 0.250
H10 0.500 0.250 0.750
H11 0.000 0.739 0.739
H12 0.261 0.000 0.261
Li1 0.000 0.000 0.000
```

A plane-wave DFT calculation with PBE was carried out for an optimized crystal structure of Li2CaH6Rh.

**Electronic total energy**: -73.87 eV for the cell shown
**Spin magnetization**: 0.000 μB/atom
**Mass density**: 2798 kg/m³

Cell and atoms, written as CIF:
```
data_Li2CaH6Rh
_symmetry_space_group_name_H-M 'P 1'
_symmetry_Int_Tables_number 1
_cell_length_a 5.111
_cell_length_b 4.515
_cell_length_c 8.798
_cell_angle_alpha 90.00
_cell_angle_beta 107.76
_cell_angle_gamma 90.00
loop_
_symmetry_equiv_pos_as_xyz
'x,y,z'
loop_
_atom_site_label
_atom_site_fract_x
_atom_site_fract_y
_atom_site_fract_z
Rh1 0.000 0.500 0.000
Rh2 0.500 0.000 0.500
Ca1 0.500 0.000 0.000
Ca2 0.000 0.500 0.500
H1 0.776 0.807 0.606
H2 0.724 0.307 0.894
H3 0.846 0.569 0.152
H4 0.325 0.710 0.404
H5 0.346 0.931 0.652
H6 0.654 0.069 0.348
H7 0.224 0.193 0.394
H8 0.675 0.290 0.596
H9 0.154 0.431 0.848
H10 0.825 0.790 0.904
H11 0.175 0.210 0.096
H12 0.276 0.693 0.106
Li1 0.089 0.933 0.223
Li2 0.589 0.567 0.723
Li3 0.411 0.433 0.277
Li4 0.911 0.067 0.777
```

A plane-wave DFT calculation with PBE was carried out for an optimized crystal structure of LiCa3H6Rh2.

**Electronic total energy**: -48.85 eV for the cell shown
**Spin magnetization**: 0.000 μB/atom
**Mass density**: 4018 kg/m³

Cell and atoms, written as CIF:
```
data_LiCa3H6Rh2
_symmetry_space_group_name_H-M 'P 1'
_symmetry_Int_Tables_number 1
_cell_length_a 5.128
_cell_length_b 5.128
_cell_length_c 6.154
_cell_angle_alpha 90.00
_cell_angle_beta 90.00
_cell_angle_gamma 120.00
loop_
_symmetry_equiv_pos_as_xyz
'x,y,z'
loop_
_atom_site_label
_atom_site_fract_x
_atom_site_fract_y
_atom_site_fract_z
H1 0.828 0.657 0.684
H2 0.172 0.828 0.316
H3 0.828 0.172 0.684
H4 0.343 0.172 0.684
H5 0.172 0.343 0.316
H6 0.657 0.828 0.316
Ca1 0.333 0.667 0.677
Ca2 0.667 0.333 0.323
Ca3 0.000 0.000 0.000
Li1 0.000 0.000 0.500
Rh1 0.667 0.333 0.839
Rh2 0.333 0.667 0.161
```